Record 1
TbCePbI: optimized geometry, PBE.

Cell lengths 5.508, 5.508, 5.508 Å; angles 60.00, 60.00, 60.00 degrees
Positions (direct):
Tb: 0.000 0.000 0.000
Ce: 0.500 0.500 0.500
Pb: 0.750 0.750 0.750
I: 0.250 0.250 0.250

symmetry = F-43m, No. 216
E_form (uncorrected) = -2.2 eV per formula unit



Record 2
CeTmPbI: optimized geometry, PBE.

Cell lengths 5.478, 5.478, 5.478 Å; angles 60.00, 60.00, 60.00 degrees
Positions (direct):
Ce: 0.000 0.000 0.000
Tm: 0.500 0.500 0.500
Pb: 0.750 0.750 0.750
I: 0.250 0.250 0.250

symmetry = F-43m, No. 216
E_form (uncorrected) = -2.0 eV per formula unit



Record 3
CePdI2: optimized geometry, PBE.

Cell lengths 9.591, 9.591, 9.591 Å; angles 24.79, 24.79, 24.79 degrees
Positions (direct):
Ce: 0.000 0.000 0.000
Pd: 0.500 0.500 0.500
I: 0.108 0.108 0.108
I: 0.892 0.892 0.892

symmetry = R-3m, No. 166
E_form (uncorrected) = -0.5 eV per formula unit



Record 4
CePm3I8: optimized geometry, PBE.

Cell lengths 8.459, 8.459, 9.549 Å; angles 116.56, 116.56, 60.07 degrees
Positions (direct):
Ce: 0.000 0.000 0.000
Pm: 0.000 0.500 0.000
Pm: 0.500 0.000 0.000
Pm: 0.500 0.500 0.000
I: 0.250 0.250 0.753
I: 0.252 0.252 0.249
I: 0.252 0.747 0.249
I: 0.253 0.748 0.751
I: 0.747 0.252 0.249
I: 0.748 0.253 0.751
I: 0.748 0.748 0.751
I: 0.750 0.750 0.247

symmetry = C2/m, No. 12
E_form (uncorrected) = -15.2 eV per formula unit



Record 5
Ce2Pm2I7: optimized geometry, PBE.

Cell lengths 8.207, 8.207, 8.275 Å; angles 90.93, 90.93, 110.42 degrees
Positions (direct):
Ce: 0.141 0.859 0.000
Ce: 0.859 0.141 0.000
Pm: 0.191 0.191 0.359
Pm: 0.809 0.809 0.641
I: 0.075 0.481 0.222
I: 0.138 0.138 0.735
I: 0.481 0.075 0.222
I: 0.500 0.500 0.500
I: 0.519 0.925 0.778
I: 0.862 0.862 0.265
I: 0.925 0.519 0.778

symmetry = C2/m, No. 12
E_form (uncorrected) = -10.9 eV per formula unit



Record 6
CePmI2: optimized geometry, PBE.

Cell lengths 9.989, 9.989, 9.989 Å; angles 22.31, 22.31, 22.31 degrees
Positions (direct):
Ce: 0.000 0.000 0.000
Pm: 0.163 0.163 0.163
I: 0.580 0.580 0.580
I: 0.749 0.749 0.749

polymorph energy (0 for the lowest one) = 0.0 meV per atom
symmetry = R3m, No. 160
E_form (uncorrected) = -3.2 eV per formula unit



Record 7
CePmI2: optimized geometry, PBE.

Cell lengths 10.006, 10.006, 10.006 Å; angles 22.33, 22.33, 22.33 degrees
Positions (direct):
Ce: 0.000 0.000 0.000
Pm: 0.500 0.500 0.500
I: 0.250 0.250 0.250
I: 0.750 0.750 0.750

polymorph energy (0 for the lowest one) = 31.5 meV per atom
symmetry = R-3m, No. 166
E_form (uncorrected) = -3.0 eV per formula unit



Record 8
CePmI5: optimized geometry, PBE.

Cell lengths 9.344, 4.322, 14.991 Å; angles 90.00, 94.21, 90.00 degrees
Positions (direct):
Ce: 0.098 0.250 0.150
Ce: 0.902 0.750 0.850
Pm: 0.415 0.750 0.344
Pm: 0.585 0.250 0.656
I: 0.069 0.750 0.311
I: 0.141 0.250 0.929
I: 0.320 0.250 0.485
I: 0.351 0.750 0.129
I: 0.365 0.750 0.712
I: 0.635 0.250 0.288
I: 0.649 0.250 0.871
I: 0.680 0.750 0.515
I: 0.859 0.750 0.071
I: 0.931 0.250 0.689

symmetry = P2_1/m, No. 11
E_form (uncorrected) = -9.5 eV per formula unit



Record 9
CePmRhI: optimized geometry, PBE.

Cell lengths 8.512, 8.512, 8.512 Å; angles 27.91, 27.91, 27.91 degrees
Positions (direct):
Ce: 0.000 0.000 0.000
Pm: 0.792 0.792 0.792
Rh: 0.392 0.392 0.392
I: 0.562 0.562 0.562

symmetry = R3m, No. 160
E_form (uncorrected) = -3.5 eV per formula unit



Record 10
CePmRuI: optimized geometry, PBE.

Cell lengths 4.061, 4.061, 8.473 Å; angles 103.83, 103.83, 60.00 degrees
Positions (direct):
Ce: 0.000 0.000 0.000
Pm: 0.209 0.209 0.628
Ru: 0.614 0.614 0.844
I: 0.440 0.440 0.320

symmetry = Cm, No. 8
E_form (uncorrected) = -2.8 eV per formula unit



Record 11
CePmTcI: optimized geometry, PBE.

Cell lengths 4.171, 4.171, 8.496 Å; angles 106.19, 106.19, 57.17 degrees
Positions (direct):
Ce: 0.000 0.000 0.000
Pm: 0.241 0.241 0.628
Tc: 0.673 0.673 0.861
I: 0.459 0.459 0.326

symmetry = Cm, No. 8
E_form (uncorrected) = -1.9 eV per formula unit



Record 12
CePrI2: optimized geometry, PBE.

Cell lengths 11.346, 11.346, 11.346 Å; angles 19.90, 19.90, 19.90 degrees
Positions (direct):
Ce: 0.000 0.000 0.000
Pr: 0.500 0.500 0.500
I: 0.097 0.097 0.097
I: 0.903 0.903 0.903

polymorph energy (0 for the lowest one) = 142.2 meV per atom
symmetry = R-3m, No. 166
E_form (uncorrected) = -2.8 eV per formula unit



no.,uncorrected energy (eV/atom)
1,-4.51
2,-4.41
3,-3.67
4,-3.99
5,-3.92
6,-4.24
7,-4.21
8,-3.99
9,-5.78
10,-6.07
11,-6.12
12,-4.14